# 1
# CdGaFe3 PBE optimized geometry
data_CdGaFe3
_space_group_name_H-M_alt 'P m -3 m'
_space_group_IT_number 221
_space_group_name_Hall '-P 4 2 3'
_cell_length_a 4.8086
_cell_length_b 4.8086
_cell_length_c 4.8086
_cell_angle_alpha 90.00
_cell_angle_beta 90.00
_cell_angle_gamma 90.00
loop_
_atom_site_label
_atom_site_type_symbol
_atom_site_fract_x
_atom_site_fract_y
_atom_site_fract_z
Cd1 Cd 0.0000 0.0000 0.0000
Ga1 Ga 0.5000 0.5000 0.5000
Fe1 Fe 0.0000 0.0000 0.5000
# - total DFT energy (no corrections) (eV/cell) = -21.6
# - ΔE_f (eV/atom) = 1.545

***

# 2
# Hf2Zn2Ga PBE optimized geometry
data_Hf2Zn2Ga
_space_group_name_H-M_alt 'C 1 2/m 1'
_space_group_IT_number 12
_space_group_name_Hall '-C 2y'
_cell_length_a 10.0433
_cell_length_b 4.1216
_cell_length_c 9.5298
_cell_angle_alpha 90.00
_cell_angle_beta 116.24
_cell_angle_gamma 90.00
loop_
_atom_site_label
_atom_site_type_symbol
_atom_site_fract_x
_atom_site_fract_y
_atom_site_fract_z
Hf1 Hf 0.0011 0.0000 0.3175
Hf2 Hf 0.1796 0.0000 0.0908
Zn1 Zn 0.0325 0.5000 0.8877
Zn2 Zn 0.1372 0.5000 0.5615
Ga1 Ga 0.2208 0.5000 0.3311
# - total DFT energy (no corrections) (eV/cell) = -107.6
# - ΔE_f (eV/atom) = -0.286

***

# 3
# ThVOs2 PBE optimized geometry
data_ThVOs2
_space_group_name_H-M_alt 'R -3 m'
_space_group_IT_number 166
_space_group_name_Hall '-R 3 2"'
_cell_length_a 4.1245
_cell_length_b 4.1245
_cell_length_c 15.9308
_cell_angle_alpha 90.00
_cell_angle_beta 90.00
_cell_angle_gamma 120.00
loop_
_atom_site_label
_atom_site_type_symbol
_atom_site_fract_x
_atom_site_fract_y
_atom_site_fract_z
Th1 Th 0.0000 0.0000 0.0000
V1 V 0.0000 0.0000 0.5000
Os1 Os 0.0000 0.0000 0.2159
# - total DFT energy (no corrections) (eV/cell) = -117.3
# - ΔE_f (eV/atom) = -0.027

***

# 4
# K3Ti3CrSe8 PBE optimized geometry
data_K3Ti3CrSe8
_space_group_name_H-M_alt 'R -3 m'
_space_group_IT_number 166
_space_group_name_Hall '-R 3 2"'
_cell_length_a 7.5020
_cell_length_b 7.5020
_cell_length_c 23.4019
_cell_angle_alpha 90.00
_cell_angle_beta 90.00
_cell_angle_gamma 120.00
loop_
_atom_site_label
_atom_site_type_symbol
_atom_site_fract_x
_atom_site_fract_y
_atom_site_fract_z
K1 K 0.0000 0.5000 0.0000
Ti1 Ti 0.0000 0.5000 0.5000
Cr1 Cr 0.0000 0.0000 0.5000
Se1 Se 0.0000 0.0000 0.2303
Se2 Se 0.0011 0.5005 0.2283
# - total DFT energy (no corrections) (eV/cell) = -242.9
# - energy relative to the elements, uncorrected (eV/atom) = -1.10

***

# 5
# BaSrSb2 PBE optimized geometry
data_BaSrSb2
_space_group_name_H-M_alt 'R -3 m'
_space_group_IT_number 166
_space_group_name_Hall '-R 3 2"'
_cell_length_a 4.8611
_cell_length_b 4.8611
_cell_length_c 24.2526
_cell_angle_alpha 90.00
_cell_angle_beta 90.00
_cell_angle_gamma 120.00
loop_
_atom_site_label
_atom_site_type_symbol
_atom_site_fract_x
_atom_site_fract_y
_atom_site_fract_z
Ba1 Ba 0.0000 0.0000 0.0000
Sr1 Sr 0.0000 0.0000 0.5000
Sb1 Sb 0.0000 0.0000 0.2452
# - total DFT energy (no corrections) (eV/cell) = -43.8
# - energy relative to the elements, uncorrected (eV/atom) = -0.69

***

# 6
# AgBiAs PBE optimized geometry
data_AgBiAs
_space_group_name_H-M_alt 'P 3 m 1'
_space_group_IT_number 156
_space_group_name_Hall 'P 3 -2"'
_cell_length_a 4.1098
_cell_length_b 4.1098
_cell_length_c 5.0887
_cell_angle_alpha 90.00
_cell_angle_beta 90.00
_cell_angle_gamma 120.00
loop_
_atom_site_label
_atom_site_type_symbol
_atom_site_fract_x
_atom_site_fract_y
_atom_site_fract_z
Ag1 Ag 0.0000 0.0000 0.0000
Bi1 Bi 0.3333 0.6667 0.6174
As1 As 0.6667 0.3333 0.2796
# - total DFT energy (no corrections) (eV/cell) = -10.9
# - ΔE_f (eV/atom) = 0.149

***

# 7
# NdDy6Y4 PBE optimized geometry
data_NdDy6Y4
_space_group_name_H-M_alt 'I -4 2 m'
_space_group_IT_number 121
_space_group_name_Hall 'I -4 2'
_cell_length_a 6.5607
_cell_length_b 6.5607
_cell_length_c 17.1870
_cell_angle_alpha 90.00
_cell_angle_beta 90.00
_cell_angle_gamma 90.00
loop_
_atom_site_label
_atom_site_type_symbol
_atom_site_fract_x
_atom_site_fract_y
_atom_site_fract_z
Nd1 Nd 0.0000 0.0000 0.0000
Dy1 Dy 0.0000 0.5000 0.0000
Dy2 Dy 0.1789 0.1789 0.3697
Y1 Y 0.1871 0.1871 0.1748
# - total DFT energy (no corrections) (eV/cell) = -109.7
# - ΔE_f (eV/atom) = 0.310

***

# 8
# Zr2ScCu PBE optimized geometry
data_Zr2ScCu
_space_group_name_H-M_alt 'F -4 3 m'
_space_group_IT_number 216
_space_group_name_Hall 'F -4 2 3'
_cell_length_a 6.8608
_cell_length_b 6.8608
_cell_length_c 6.8608
_cell_angle_alpha 90.00
_cell_angle_beta 90.00
_cell_angle_gamma 90.00
loop_
_atom_site_label
_atom_site_type_symbol
_atom_site_fract_x
_atom_site_fract_y
_atom_site_fract_z
Zr1 Zr 0.0000 0.0000 0.0000
Zr2 Zr 0.2500 0.2500 0.2500
Sc1 Sc 0.2500 0.2500 0.7500
Cu1 Cu 0.0000 0.0000 0.5000
# - total DFT energy (no corrections) (eV/cell) = -107.5
# - ΔE_f (eV/atom) = 0.162